# 1
# Li6Pt2Rh, optimized geometry, DFT PBE
# Crystal system: monoclinic
# Calculated density (Mg/m³): 7.22
# Magnetization (μB per formula unit): 0.0
# Total energy (eV per atom): -3.8488
data_Li6Pt2Rh
_chemical_formula_sum 'Li12 Pt4 Rh2'
_cell_length_a 12.7778
_cell_length_b 7.3766
_cell_length_c 2.6085
_cell_angle_alpha 90.00
_cell_angle_beta 90.16
_cell_angle_gamma 90.00
_space_group_name_H-M_alt 'C 1 2/m 1'
_space_group_IT_number 12
_space_group_name_Hall '-C 2y'
loop_
_atom_site_label
_atom_site_type_symbol
_atom_site_fract_x
_atom_site_fract_y
_atom_site_fract_z
Li1 Li 0.0000 0.1671 0.0000
Li2 Li 0.1664 0.3335 0.0005
Pt1 Pt 0.1667 0.0000 0.5005
Rh1 Rh 0.0000 0.5000 0.5000

***

# 2
# PuZnFeNi, optimized geometry, DFT PBE
# Crystal system: cubic
# Calculated density (Mg/m³): 11.29
# Magnetization (μB per formula unit): 2.7
# Total energy (eV per atom): -7.4833
data_PuZnFeNi
_chemical_formula_sum 'Pu4 Zn4 Fe4 Ni4'
_cell_length_a 6.2943
_cell_length_b 6.2943
_cell_length_c 6.2943
_cell_angle_alpha 90.00
_cell_angle_beta 90.00
_cell_angle_gamma 90.00
_space_group_name_H-M_alt 'F -4 3 m'
_space_group_IT_number 216
_space_group_name_Hall 'F -4 2 3'
loop_
_atom_site_label
_atom_site_type_symbol
_atom_site_fract_x
_atom_site_fract_y
_atom_site_fract_z
Pu1 Pu 0.0000 0.0000 0.0000
Zn1 Zn 0.0000 0.0000 0.5000
Fe1 Fe 0.2500 0.2500 0.7500
Ni1 Ni 0.2500 0.2500 0.2500

***

# 3
# TbSnRh3, optimized geometry, DFT PBE
# Crystal system: orthorhombic
# Calculated density (Mg/m³): 10.29
# Magnetization (μB per formula unit): 0.0
# Total energy (eV per atom): -6.6599
data_TbSnRh3
_chemical_formula_sum 'Tb4 Sn4 Rh12'
_cell_length_a 5.5658
_cell_length_b 7.5763
_cell_length_c 8.9778
_cell_angle_alpha 90.00
_cell_angle_beta 90.00
_cell_angle_gamma 90.00
_space_group_name_H-M_alt 'I m m a'
_space_group_IT_number 74
_space_group_name_Hall '-I 2b 2'
loop_
_atom_site_label
_atom_site_type_symbol
_atom_site_fract_x
_atom_site_fract_y
_atom_site_fract_z
Tb1 Tb 0.0000 0.2500 0.0139
Sn1 Sn 0.0000 0.0000 0.5000
Rh1 Rh 0.0000 0.2500 0.7083
Rh2 Rh 0.2500 0.0547 0.2500

***

# 4
# RbSi, optimized geometry, DFT PBE
# E_form (uncorrected) (eV/f.u.): 0.1
# Crystal system: tetragonal
# Calculated density (Mg/m³): 2.19
# Excess energy over the best structure of this formula in the dataset (meV/atom): 104
# Magnetization (μB per formula unit): 0.0
data_RbSi
_chemical_formula_sum 'Rb8 Si8'
_cell_length_a 13.1732
_cell_length_b 13.1732
_cell_length_c 3.9755
_cell_angle_alpha 90.00
_cell_angle_beta 90.00
_cell_angle_gamma 90.00
_space_group_name_H-M_alt 'P 4/m m m'
_space_group_IT_number 123
_space_group_name_Hall '-P 4 2'
loop_
_atom_site_label
_atom_site_type_symbol
_atom_site_fract_x
_atom_site_fract_y
_atom_site_fract_z
Rb1 Rb 0.0000 0.2831 0.0000
Rb2 Rb 0.3279 0.3279 0.5000
Si1 Si 0.0884 0.5000 0.5000
Si2 Si 0.1839 0.5000 0.0000

***

# 5
# Er7TmTh3, optimized geometry, DFT PBE
# Crystal system: trigonal
# Calculated density (Mg/m³): 9.36
# Excess energy over the best structure of this formula in the dataset (meV/atom): 52
# Magnetization (μB per formula unit): 0.0
data_Er7TmTh3
_chemical_formula_sum 'Er7 Tm1 Th3'
_cell_length_a 7.0209
_cell_length_b 7.0209
_cell_length_c 8.4590
_cell_angle_alpha 90.00
_cell_angle_beta 90.00
_cell_angle_gamma 120.00
_space_group_name_H-M_alt 'P 3 m 1'
_space_group_IT_number 156
_space_group_name_Hall 'P 3 -2"'
loop_
_atom_site_label
_atom_site_type_symbol
_atom_site_fract_x
_atom_site_fract_y
_atom_site_fract_z
Er1 Er 0.0000 0.0000 0.0000
Er2 Er 0.1656 0.3312 0.3382
Er3 Er 0.5011 0.0023 0.0032
Tm1 Tm 0.6667 0.3333 0.3409
Th1 Th 0.3337 0.1668 0.6704

***

# 6
# NdSi2Ag4, optimized geometry, DFT PBE
# E_form (uncorrected) (eV/f.u.): -1.9
# Crystal system: orthorhombic
# Calculated density (Mg/m³): 7.89
# Magnetization (μB per formula unit): 0.0
data_NdSi2Ag4
_chemical_formula_sum 'Nd2 Si4 Ag8'
_cell_length_a 4.2449
_cell_length_b 14.7801
_cell_length_c 4.2388
_cell_angle_alpha 90.00
_cell_angle_beta 90.00
_cell_angle_gamma 90.00
_space_group_name_H-M_alt 'C m m m'
_space_group_IT_number 65
_space_group_name_Hall '-C 2 2'
loop_
_atom_site_label
_atom_site_type_symbol
_atom_site_fract_x
_atom_site_fract_y
_atom_site_fract_z
Nd1 Nd 0.0000 0.0000 0.0000
Si1 Si 0.0000 0.4212 0.5000
Ag1 Ag 0.0000 0.1788 0.5000
Ag2 Ag 0.0000 0.3204 0.0000

***

# 7
# TaAl3V, optimized geometry, DFT PBE
# Crystal system: cubic
# Calculated density (Mg/m³): 5.49
# Excess energy over the best structure of this formula in the dataset (meV/atom): 951
# Magnetization (μB per formula unit): 1.1
data_TaAl3V
_chemical_formula_sum 'Ta1 Al3 V1'
_cell_length_a 4.5563
_cell_length_b 4.5563
_cell_length_c 4.5563
_cell_angle_alpha 90.00
_cell_angle_beta 90.00
_cell_angle_gamma 90.00
_space_group_name_H-M_alt 'P m -3 m'
_space_group_IT_number 221
_space_group_name_Hall '-P 4 2 3'
loop_
_atom_site_label
_atom_site_type_symbol
_atom_site_fract_x
_atom_site_fract_y
_atom_site_fract_z
Ta1 Ta 0.0000 0.0000 0.0000
Al1 Al 0.0000 0.5000 0.5000
V1 V 0.5000 0.5000 0.5000

***

# 8
# YSc3F, optimized geometry, DFT PBE
# E_form (uncorrected) (eV/f.u.): 4.1
# Crystal system: cubic
# Calculated density (Mg/m³): 2.58
# Excess energy over the best structure of this formula in the dataset (meV/atom): 1664
# Magnetization (μB per formula unit): 0.0
data_YSc3F
_chemical_formula_sum 'Y1 Sc3 F1'
_cell_length_a 5.3868
_cell_length_b 5.3868
_cell_length_c 5.3868
_cell_angle_alpha 90.00
_cell_angle_beta 90.00
_cell_angle_gamma 90.00
_space_group_name_H-M_alt 'P m -3 m'
_space_group_IT_number 221
_space_group_name_Hall '-P 4 2 3'
loop_
_atom_site_label
_atom_site_type_symbol
_atom_site_fract_x
_atom_site_fract_y
_atom_site_fract_z
Y1 Y 0.0000 0.0000 0.0000
Sc1 Sc 0.0000 0.0000 0.5000
F1 F 0.5000 0.5000 0.5000